Compound: TbSc3
Source: Alexandria via LeMat-Bulk
Functional: GGA-PBE
Structure: relaxed

Structure (extended XYZ):
```
4
Lattice="4.742 0.000 0.000 0.000 4.742 0.000 -2.371 -2.371 4.663" Properties=species:S:1:pos:R:3 pbc="T T T"
Sc 2.371 0.000 2.332
Sc 0.000 2.371 2.332
Sc 2.371 2.371 0.000
Tb 0.000 0.000 0.000
```

Final energy ... -23.4 eV/cell
Calculated volume ... 105 Å³/cell
Magnetization ... 0.00 μB/f.u.
Energy relative to the elements ... 0.057 eV per atom
DOS(E_F) ... 7.20 states/eV/f.u.
Distance to the lowest polymorph of the same formula ... 32 meV/atom

***

Compound: LiReSi2
Source: Alexandria via LeMat-Bulk
Functional: GGA-PBE
Structure: relaxed

Structure (extended XYZ):
```
4
Lattice="2.692 0.027 0.000 -0.782 2.577 0.000 0.000 0.000 8.215" Properties=species:S:1:pos:R:3 pbc="T T T"
Li 0.000 0.000 4.090
Re 0.955 1.302 6.298
Si 0.000 0.000 8.194
Si 0.955 1.302 1.956
```

Formation energy from raw total energies ... 0.276 eV per atom
Final energy ... -24.1 eV/cell
Calculated volume ... 57 Å³/cell
Magnetization ... 0.00 μB/f.u.
DOS(E_F) ... 2.22 states/eV/f.u.
Distance to the lowest polymorph of the same formula ... 425 meV/atom

***

Compound: CaTaIr2
Source: Alexandria via LeMat-Bulk
Functional: GGA-PBE
Structure: relaxed

Structure (extended XYZ):
```
4
Lattice="6.090 -0.005 -0.002 3.591 4.919 0.002 -4.254 -3.611 2.438" Properties=species:S:1:pos:R:3 pbc="T T T"
Ca 1.977 1.825 1.220
Ir 9.360 4.751 0.000
Ir 3.413 -0.542 1.218
Ta 5.198 2.638 0.000
```

Final energy ... -32.2 eV/cell
Calculated volume ... 73 Å³/cell
Magnetization ... 0.00 μB/f.u.
Energy relative to the elements ... -0.165 eV per atom
DOS(E_F) ... 3.56 states/eV/f.u.
Distance to the lowest polymorph of the same formula ... 316 meV/atom

***

Compound: Na4PrSm3Se8
Source: Alexandria via LeMat-Bulk
Functional: GGA-PBE
Structure: relaxed

Structure (extended XYZ):
```
16
Lattice="8.509 0.000 0.000 0.000 8.565 0.030 -4.255 -4.251 6.020" Properties=species:S:1:pos:R:3 pbc="T T T"
Na 4.255 0.000 0.000
Na 2.127 -2.125 3.010
Na 0.000 0.000 0.000
Na -2.127 -2.125 3.010
Pr 0.000 4.282 0.015
Sm 4.255 4.282 0.015
Sm 2.127 2.157 3.025
Sm -2.127 2.157 3.025
Se -2.101 2.097 5.971
Se 0.000 4.196 2.999
Se 0.000 0.113 3.085
Se 2.101 2.097 5.971
Se 2.154 2.217 0.079
Se 4.255 4.202 2.965
Se 4.255 0.119 3.052
Se 6.355 2.217 0.079
```

Formation energy from raw total energies ... -1.690 eV per atom
Final energy ... -79.1 eV/cell
Calculated volume ... 440 Å³/cell
Magnetization ... 0.00 μB/f.u.
DOS(E_F) ... 0.00 states/eV/f.u.

***

Compound: NaCo2Re2
Source: Alexandria via LeMat-Bulk
Functional: GGA-PBE
Structure: relaxed

Structure (extended XYZ):
```
5
Lattice="-2.938 2.052 2.341 -3.025 -1.118 -2.816 -3.759 -3.310 2.098" Properties=species:S:1:pos:R:3 pbc="T T T"
Re -3.191 -0.552 0.393
Re -6.531 -1.824 1.231
Co -4.839 -0.395 2.101
Co -4.883 -1.980 -0.478
Na 0.000 0.000 0.000
```

Final energy ... -36.7 eV/cell
Calculated volume ... 83 Å³/cell
Magnetization ... 0.00 μB/f.u.
Energy relative to the elements ... 0.746 eV per atom
DOS(E_F) ... 4.42 states/eV/f.u.
Distance to the lowest polymorph of the same formula ... 414 meV/atom

***

Compound: La2PuSc
Source: Alexandria via LeMat-Bulk
Functional: GGA-PBE
Structure: relaxed

Structure (extended XYZ):
```
4
Lattice="-2.514 -2.195 1.160 0.885 -3.137 1.364 0.136 2.918 11.202" Properties=species:S:1:pos:R:3 pbc="T T T"
La -0.037 1.727 8.573
La -0.370 -0.577 3.490
Pu -0.953 -0.656 12.843
Sc -0.745 -1.197 6.884
```

Final energy ... -29.9 eV/cell
Calculated volume ... 123 Å³/cell
Magnetization ... 6.25 μB/f.u.
Energy relative to the elements ... 0.159 eV per atom
DOS(E_F) ... 11.74 states/eV/f.u.
Distance to the lowest polymorph of the same formula ... 32 meV/atom

***

Compound: K2CdRh
Source: Alexandria via LeMat-Bulk
Functional: GGA-PBE
Structure: relaxed

Structure (extended XYZ):
```
4
Lattice="-0.459 -6.155 0.366 3.853 -3.105 3.707 -3.728 4.921 0.319" Properties=species:S:1:pos:R:3 pbc="T T T"
Cd -1.245 -2.932 1.361
K 0.000 0.000 0.000
K 1.697 -4.630 2.036
Rh 0.911 -1.407 3.031
```

Final energy ... -8.7 eV/cell
Calculated volume ... 104 Å³/cell
Magnetization ... 0.00 μB/f.u.
Energy relative to the elements ... 0.448 eV per atom
DOS(E_F) ... 2.13 states/eV/f.u.

***

Compound: TbCeY
Source: Alexandria via LeMat-Bulk
Functional: GGA-PBE
Structure: relaxed

Structure (extended XYZ):
```
6
Lattice="-2.552 -3.938 -0.048 2.792 -1.769 -3.333 5.110 -3.386 6.077" Properties=species:S:1:pos:R:3 pbc="T T T"
Ce 0.000 0.000 0.000
Ce 0.120 -2.853 -1.690
Tb 5.121 -3.353 2.764
Tb 0.108 -2.886 1.622
Y 3.085 -2.003 0.342
Y 2.145 -4.236 4.044
```

Final energy ... -32.6 eV/cell
Calculated volume ... 190 Å³/cell
Magnetization ... 0.00 μB/f.u.
Energy relative to the elements ... 0.243 eV per atom
DOS(E_F) ... 4.92 states/eV/f.u.
Distance to the lowest polymorph of the same formula ... 175 meV/atom